A relaxed K2BaTl crystal, computed with PBE-GGA.

Cell: 5.3342 5.3342 28.9892 Å, 90.00 90.00 90.00°
With the nearest neighbours (Å) after each atom.
Atoms (fractional coordinates):
1 K 0.2222 0.2500 0.1250  4 K 3.57-3.99
2 K 0.2500 0.7222 0.3750  4 K 3.57-3.99
3 K 0.2500 0.7778 0.8750  4 K 3.57-3.99
4 K 0.2778 0.2500 0.6250  4 K 3.57-3.99
5 K 0.7222 0.7500 0.6250  4 K 3.57-3.99
6 K 0.7500 0.2222 0.8750  4 K 3.57-3.99
7 K 0.7500 0.2778 0.3750  4 K 3.57-3.99
8 K 0.7778 0.7500 0.1250  4 K 3.57-3.99
9 Ba 0.0000 0.0000 0.5000  4 Tl 3.77, 4 K 4.14
10 Ba 0.0000 0.5000 0.7500  4 Tl 3.77, 4 K 4.14
11 Ba 0.5000 0.0000 0.2500  4 Tl 3.77, 4 K 4.14
12 Ba 0.5000 0.5000 0.0000  4 Tl 3.77, 4 K 4.14
13 Tl 0.0000 0.0000 0.0000  4 Ba 3.77, 4 K 4.04
14 Tl 0.0000 0.5000 0.2500  4 Ba 3.77, 4 K 4.04
15 Tl 0.5000 0.0000 0.7500  4 Ba 3.77, 4 K 4.04
16 Tl 0.5000 0.5000 0.5000  4 Ba 3.77, 4 K 4.04

* size of the total moment: 0.00 μB/f.u.
* energy of formation: 0.053 eV/atom
* distance to the lowest polymorph of the same formula: 0.168 eV/atom
* space group: I-42d